This record from Alexandria describes a geometry-optimized Ba2TlCd structure. The functional is PBE.

```
data_Ba2TlCd
_chemical_formula_sum 'Ba8 Tl4 Cd4'
_cell_length_a 9.4448
_cell_length_b 9.4448
_cell_length_c 8.0551
_cell_angle_alpha 90.00
_cell_angle_beta 90.00
_cell_angle_gamma 90.00
_space_group_name_H-M_alt 'I -4 2 d'
_space_group_IT_number 122
_space_group_name_Hall 'I -4 2bw'
loop_
_atom_site_label
_atom_site_type_symbol
_atom_site_fract_x
_atom_site_fract_y
_atom_site_fract_z
Ba1 Ba 0.2459 0.2500 0.1250
Tl1 Tl 0.0000 0.0000 0.5000
Cd1 Cd 0.0000 0.0000 0.0000
```

## Properties
Formation enthalpy at 0 K = -0.060 eV per atom
Theoretical density = 5467 kg/m3



This record from Alexandria describes a geometry-optimized Ba2TlCd10 structure. The functional is PBE.

```
data_Ba2TlCd10
_chemical_formula_sum 'Ba4 Tl2 Cd20'
_cell_length_a 9.7444
_cell_length_b 13.9414
_cell_length_c 6.1103
_cell_angle_alpha 90.00
_cell_angle_beta 90.00
_cell_angle_gamma 90.00
_space_group_name_H-M_alt 'P b a m'
_space_group_IT_number 55
_space_group_name_Hall '-P 2 2ab'
loop_
_atom_site_label
_atom_site_type_symbol
_atom_site_fract_x
_atom_site_fract_y
_atom_site_fract_z
Ba1 Ba 0.2008 0.0838 0.0000
Tl1 Tl 0.0000 0.0000 0.5000
Cd1 Cd 0.1134 0.2324 0.5000
Cd2 Cd 0.1217 0.6472 0.5000
Cd3 Cd 0.1441 0.4454 0.5000
Cd4 Cd 0.1448 0.8319 0.2321
```

## Properties
Formation enthalpy at 0 K = -0.107 eV per atom
Theoretical density = 6414 kg/m3



This record from Alexandria describes a geometry-optimized BaTlCd3 structure. The functional is PBE.

```
data_BaTlCd3
_chemical_formula_sum 'Ba4 Tl4 Cd12'
_cell_length_a 13.1979
_cell_length_b 6.7844
_cell_length_c 6.7844
_cell_angle_alpha 90.00
_cell_angle_beta 90.00
_cell_angle_gamma 90.00
_space_group_name_H-M_alt 'P n n a'
_space_group_IT_number 52
_space_group_name_Hall '-P 2a 2bc'
loop_
_atom_site_label
_atom_site_type_symbol
_atom_site_fract_x
_atom_site_fract_y
_atom_site_fract_z
Ba1 Ba 0.2500 0.0000 0.9996
Tl1 Tl 0.9995 0.2500 0.2500
Cd1 Cd 0.0001 0.2500 0.7500
Cd2 Cd 0.1411 0.0004 0.4994
```

## Properties
Formation enthalpy at 0 K = -0.239 eV per atom
Theoretical density = 7424 kg/m3



This record from Alexandria describes a geometry-optimized BaTl12Cd4 structure. The functional is PBE.

```
data_BaTl12Cd4
_chemical_formula_sum 'Ba2 Tl24 Cd8'
_cell_length_a 10.4108
_cell_length_b 10.4108
_cell_length_c 10.4108
_cell_angle_alpha 90.00
_cell_angle_beta 90.00
_cell_angle_gamma 90.00
_space_group_name_H-M_alt 'I m -3'
_space_group_IT_number 204
_space_group_name_Hall '-I 2 2 3'
loop_
_atom_site_label
_atom_site_type_symbol
_atom_site_fract_x
_atom_site_fract_y
_atom_site_fract_z
Ba1 Ba 0.0000 0.0000 0.0000
Tl1 Tl 0.0000 0.1543 0.3528
Cd1 Cd 0.2500 0.2500 0.2500
```

## Properties
Formation enthalpy at 0 K = 0.076 eV per atom
Theoretical density = 8946 kg/m3



| no. | VASP energy (eV per atom) |
| --- | --- |
| 1 | -1.842 |
| 2 | -1.289 |
| 3 | -1.646 |
| 4 | -1.922 |